MnNiAs2O after structural relaxation, computed with PBE with a Hubbard U.

POSCAR file:
```
MnNiAs2O
1.0
-4.670 -0.886 1.135
0.843 -0.152 3.350
-0.809 4.801 0.422
As Ni Mn O
2 1 1 1
Cartesian
-2.335 -0.443 0.567
-0.404 2.401 0.211
0.000 0.000 0.000
-2.318 1.881 2.453
0.421 -0.076 1.675
```

- electronic total energy (eV/atom) = -4.605
- DOS at the Fermi energy (states/eV/f.u.) = 2.9